1.
CaZr2Cd: relaxed, GGA-PBE.

Total magnetization in μB/atom: 0.00
Space-group type: R-3m, No. 166

Cell: 11.395 11.395 11.395 Å, 16.20 16.20 16.20°
Positions (direct):
Ca  0.000  0.000  0.000
Zr  0.244  0.244  0.244
Zr  0.756  0.756  0.756
Cd  0.500  0.500  0.500

---

2.
CaZr2Cd: relaxed, GGA-PBE.

Total magnetization in μB/atom: 0.00
Space-group type: C2/m, No. 12

Cell: 6.547 6.547 5.188 Å, 113.26 113.26 29.67°
Positions (direct):
Ca  0.000  0.000  0.000
Zr  0.224  0.224  0.724
Zr  0.776  0.776  0.276
Cd  0.500  0.500  0.500

---

3.
CaZr2Cd: relaxed, GGA-PBE.

Total magnetization in μB/atom: 0.30
Space-group type: I-4m2, No. 119

Cell: 5.658 5.658 5.658 Å, 131.94 131.94 70.32°
Positions (direct):
Ca  0.000  0.000  0.000
Zr  0.500  0.500  0.000
Zr  0.750  0.250  0.500
Cd  0.250  0.750  0.500

---

4.
CaZrCd4: relaxed, GGA-PBE.

Total magnetization in μB/atom: 0.12
Space-group type: F-43m, No. 216

Cell: 5.838 5.838 5.838 Å, 60.00 60.00 60.00°
Positions (direct):
Ca  0.000  0.000  0.000
Zr  0.250  0.250  0.250
Cd  0.127  0.624  0.624
Cd  0.624  0.127  0.624
Cd  0.624  0.624  0.127
Cd  0.624  0.624  0.624

---

5.
CaZrCd6: relaxed, GGA-PBE.

Total magnetization in μB/atom: 0.00
Space-group type: P4/mmm, No. 123

Cell: 4.575 4.575 8.905 Å, 90.00 90.00 90.00°
Positions (direct):
Ca  0.000  0.000  0.000
Zr  0.000  0.000  0.500
Cd  0.000  0.500  0.264
Cd  0.000  0.500  0.736
Cd  0.500  0.000  0.264
Cd  0.500  0.000  0.736
Cd  0.500  0.500  0.000
Cd  0.500  0.500  0.500

---

6.
CaZr2Cd: relaxed, GGA-PBE.

Total magnetization in μB/atom: 0.00
Space-group type: Cm, No. 8

Cell: 5.924 5.924 5.953 Å, 113.73 113.73 31.81°
Positions (direct):
Ca  0.000  0.000  0.000
Zr  0.218  0.218  0.603
Zr  0.468  0.468  0.482
Cd  0.747  0.747  0.083

---

7.
Ca4ZrCd: relaxed, GGA-PBE.

Total magnetization in μB/atom: 0.65
Space-group type: F-43m, No. 216

Cell: 6.599 6.599 6.599 Å, 60.00 60.00 60.00°
Positions (direct):
Ca  0.125  0.125  0.125
Ca  0.125  0.125  0.624
Ca  0.125  0.624  0.125
Ca  0.624  0.125  0.125
Zr  0.500  0.500  0.500
Cd  0.750  0.750  0.750

---

8.
CaZr2Cd: relaxed, GGA-PBE.

Total magnetization in μB/atom: 0.11
Space-group type: Cmmm, No. 65

Cell: 3.184 3.184 9.937 Å, 90.00 90.00 90.11°
Positions (direct):
Ca  0.000  0.000  0.000
Zr  0.500  0.500  0.283
Zr  0.500  0.500  0.717
Cd  0.000  0.000  0.500

---

9.
Ca3Ce: relaxed, GGA-PBE.

Total magnetization in μB/atom: 0.50
Space-group type: Pmm2, No. 25
E above lowest polymorph in meV/atom: 0

Cell: 3.722 6.270 6.714 Å, 90.00 90.00 90.00°
Positions (direct):
Ca  0.000  0.000  0.000
Ca  0.000  0.500  0.329
Ca  0.500  0.500  0.817
Ce  0.500  0.000  0.499

---

10.
CaCe6: relaxed, GGA-PBE.

Total magnetization in μB/atom: 0.38
Space-group type: Im-3m, No. 229

Cell: 6.637 6.637 6.637 Å, 109.47 109.47 109.47°
Positions (direct):
Ca  0.000  0.000  0.000
Ce  0.250  0.500  0.750
Ce  0.250  0.750  0.500
Ce  0.500  0.250  0.750
Ce  0.500  0.750  0.250
Ce  0.750  0.250  0.500
Ce  0.750  0.500  0.250

---

11.
Ca3Ce: relaxed, GGA-PBE.

Total magnetization in μB/atom: 0.58
Space-group type: Imm2, No. 44
E above lowest polymorph in meV/atom: 8

Cell: 7.380 7.380 7.380 Å, 150.87 62.64 125.88°
Positions (direct):
Ca  0.000  0.000  0.000
Ca  0.433  0.681  0.752
Ca  0.930  0.681  0.248
Ce  0.501  0.001  0.500

---

12.
Ca6Ce: relaxed, GGA-PBE.

Total magnetization in μB/atom: 0.27
Space-group type: Im-3m, No. 229

Cell: 7.874 7.874 7.874 Å, 109.47 109.47 109.47°
Positions (direct):
Ca  0.250  0.500  0.750
Ca  0.250  0.750  0.500
Ca  0.500  0.250  0.750
Ca  0.500  0.750  0.250
Ca  0.750  0.250  0.500
Ca  0.750  0.500  0.250
Ce  0.000  0.000  0.000

---

Computed ΔE_f (eV/atom) in order:
0.225 0.039 0.209 -0.059 -0.147 0.108 0.548 0.211 0.190 0.603 0.198 1.149